Record 1
First-principles (PBE with a Hubbard U) data for an optimized crystal structure of LiMn2OF3, as listed in the Alexandria database.

Unit cell a=6.3279 b=6.3279 c=6.3279 alpha=59.95 beta=59.95 gamma=59.95
Closest atoms and distances in Å follow each position.
Sites, in units of the cell vectors:
Li 0.0000 0.0000 0.0000  1 O 1.98, 3 F 2.05
Li 0.3560 0.3560 0.3560  6 F 2.10-2.15
Mn 0.3552 0.3552 0.8671  2 O 2.05-2.09, 4 F 2.25-2.28
Mn 0.3552 0.8671 0.3552  2 O 2.05-2.09, 4 F 2.25-2.28
Mn 0.7143 0.7143 0.7143  1 O 2.00, 3 F 2.09
Mn 0.8671 0.3552 0.3552  2 O 2.05-2.09, 4 F 2.25-2.28
O 0.1274 0.1274 0.1274  1 Li 1.98, 3 Mn 2.05
O 0.5855 0.5855 0.5855  4 Mn 2.00-2.09
F 0.1178 0.5960 0.5960  3 Mn 2.09-2.28, 1 Li 2.15
F 0.1218 0.1218 0.6031  2 Li 2.05-2.10, 2 Mn 2.25
F 0.1218 0.6031 0.1218  2 Li 2.05-2.10, 2 Mn 2.25
F 0.5960 0.1178 0.5960  3 Mn 2.09-2.28, 1 Li 2.15
F 0.5960 0.5960 0.1178  3 Mn 2.09-2.28, 1 Li 2.15
F 0.6031 0.1218 0.1218  2 Li 2.05-2.10, 2 Mn 2.25

**Total magnetization**: 20.00 Bohr magnetons per cell
**Total DFT energy (no corrections)**: -6.314 eV per atom

***

Record 2
First-principles (PBE with a Hubbard U) data for an optimized crystal structure of Cr2FeF8, as listed in the Alexandria database.

Unit cell a=5.9557 b=5.9557 c=4.1072 alpha=90.49 beta=90.49 gamma=71.23
Closest atoms and distances in Å follow each position.
Sites, in units of the cell vectors:
Cr 0.1250 0.1250 0.2469  5 F 1.86-2.08
Cr 0.8750 0.8750 0.7531  5 F 1.86-2.08
Fe 0.5000 0.5000 0.0000  6 F 2.06-2.13
F 0.0900 0.0900 0.7478  3 Cr 2.07-2.09
F 0.1642 0.6198 0.7625  1 Cr 1.90
F 0.3174 0.3174 0.2546  1 Cr 1.86, 1 Fe 2.06
F 0.3802 0.8358 0.2375  1 Cr 1.90
F 0.6198 0.1642 0.7625  1 Cr 1.90
F 0.6826 0.6826 0.7454  1 Cr 1.86, 1 Fe 2.06
F 0.8358 0.3802 0.2375  1 Cr 1.90
F 0.9100 0.9100 0.2522  3 Cr 2.07-2.09

**Total magnetization**: 10.00 Bohr magnetons per cell
**Total DFT energy (no corrections)**: -5.756 eV per atom

***

What did the first record say?
First-principles (PBE with a Hubbard U) data for an optimized crystal structure of LiMn2OF3, as listed in the Alexandria database.

Unit cell a=6.3279 b=6.3279 c=6.3279 alpha=59.95 beta=59.95 gamma=59.95
Closest atoms and distances in Å follow each position.
Sites, in units of the cell vectors:
Li 0.0000 0.0000 0.0000  1 O 1.98, 3 F 2.05
Li 0.3560 0.3560 0.3560  6 F 2.10-2.15
Mn 0.3552 0.3552 0.8671  2 O 2.05-2.09, 4 F 2.25-2.28
Mn 0.3552 0.8671 0.3552  2 O 2.05-2.09, 4 F 2.25-2.28
Mn 0.7143 0.7143 0.7143  1 O 2.00, 3 F 2.09
Mn 0.8671 0.3552 0.3552  2 O 2.05-2.09, 4 F 2.25-2.28
O 0.1274 0.1274 0.1274  1 Li 1.98, 3 Mn 2.05
O 0.5855 0.5855 0.5855  4 Mn 2.00-2.09
F 0.1178 0.5960 0.5960  3 Mn 2.09-2.28, 1 Li 2.15
F 0.1218 0.1218 0.6031  2 Li 2.05-2.10, 2 Mn 2.25
F 0.1218 0.6031 0.1218  2 Li 2.05-2.10, 2 Mn 2.25
F 0.5960 0.1178 0.5960  3 Mn 2.09-2.28, 1 Li 2.15
F 0.5960 0.5960 0.1178  3 Mn 2.09-2.28, 1 Li 2.15
F 0.6031 0.1218 0.1218  2 Li 2.05-2.10, 2 Mn 2.25

**Total magnetization**: 20.00 Bohr magnetons per cell
**Total DFT energy (no corrections)**: -6.314 eV per atom

***

Look up the total DFT energy (no corrections) of the second one. -5.756 eV per atom

***

Look up the total magnetization of the first one. 20.00 Bohr magnetons per cell